Ba2UMnN5: relaxed, PBE.

a = 3.535 Å, b = 8.014 Å, c = 11.393 Å
α = 90.00°, β = 90.00°, γ = 102.74°
Fractional positions:
Ba1 0.862 0.725 0.837
Ba2 0.122 0.244 0.677
Ba3 0.138 0.275 0.337
Ba4 0.878 0.756 0.177
U1 0.810 0.620 0.528
U2 0.190 0.380 0.028
Mn1 0.548 0.097 0.931
Mn2 0.452 0.903 0.431
N1 0.318 0.636 0.011
N2 0.669 0.339 0.905
N3 0.504 0.009 0.803
N4 0.302 0.604 0.643
N5 0.955 0.911 0.490
N6 0.682 0.364 0.511
N7 0.331 0.661 0.405
N8 0.496 0.991 0.303
N9 0.698 0.396 0.143
N10 0.045 0.089 0.990

Calculated values
The formation energy (no corrections) is -7.06 eV/f.u.



Ba2UMn2N6: relaxed, PBE.

a = 5.991 Å, b = 5.991 Å, c = 6.564 Å
α = 62.85°, β = 62.85°, γ = 60.00°
Fractional positions:
Ba1 0.769 0.769 0.694
Ba2 0.231 0.231 0.306
U1 0.000 0.000 0.000
Mn1 0.437 0.437 0.690
Mn2 0.563 0.563 0.310
N1 0.752 0.752 0.228
N2 0.267 0.752 0.228
N3 0.752 0.267 0.228
N4 0.248 0.733 0.772
N5 0.733 0.248 0.772
N6 0.248 0.248 0.772

Calculated values
The formation energy (no corrections) is -8.82 eV/f.u.



BaY2MnN4: relaxed, PBE.

a = 3.489 Å, b = 6.324 Å, c = 11.774 Å
α = 90.00°, β = 90.00°, γ = 106.01°
Fractional positions:
Ba1 0.092 0.184 0.750
Ba2 0.908 0.816 0.250
Y1 0.369 0.738 0.543
Y2 0.631 0.262 0.043
Y3 0.631 0.262 0.457
Y4 0.369 0.738 0.957
Mn1 0.822 0.644 0.750
Mn2 0.178 0.356 0.250
N1 0.256 0.513 0.120
N2 0.744 0.487 0.620
N3 0.744 0.487 0.880
N4 0.256 0.513 0.380
N5 0.000 0.000 0.500
N6 0.000 0.000 0.000
N7 0.392 0.783 0.750
N8 0.608 0.217 0.250

Calculated values
The formation energy (no corrections) is -8.70 eV/f.u.



Ba2YMnN: relaxed, PBE.

a = 6.010 Å, b = 3.685 Å, c = 6.010 Å
α = 90.00°, β = 90.00°, γ = 90.00°
Fractional positions:
Y1 0.500 0.500 0.500
Mn1 0.000 0.500 0.000
Ba1 0.000 0.000 0.500
Ba2 0.500 0.000 0.000
N1 0.000 0.000 0.000

Calculated values
The formation energy (no corrections) is 1.16 eV/f.u.



BaNaMn2: relaxed, PBE.

a = 5.511 Å, b = 5.511 Å, c = 5.511 Å
α = 60.00°, β = 60.00°, γ = 60.00°
Fractional positions:
Na1 0.000 0.000 0.000
Mn1 0.250 0.250 0.250
Mn2 0.750 0.750 0.750
Ba1 0.500 0.500 0.500

Calculated values
The energy relative to the lowest polymorph listed for this composition is 0 meV/atom. The formation energy from the elements is 0.836 eV per atom.



Ba2NaMn: relaxed, PBE.

a = 6.131 Å, b = 6.131 Å, c = 6.131 Å
α = 60.00°, β = 60.00°, γ = 60.00°
Fractional positions:
Na1 0.000 0.000 0.000
Mn1 0.500 0.500 0.500
Ba1 0.250 0.250 0.250
Ba2 0.750 0.750 0.750

Calculated values
The formation energy from the elements is 0.389 eV per atom.



Ba3NaMn: relaxed, PBE.

a = 6.015 Å, b = 6.015 Å, c = 6.015 Å
α = 90.00°, β = 90.00°, γ = 90.00°
Fractional positions:
Na1 0.500 0.500 0.500
Mn1 0.000 0.000 0.000
Ba1 0.000 0.500 0.000
Ba2 0.000 0.000 0.500
Ba3 0.500 0.000 0.000

Calculated values
The energy relative to the lowest polymorph listed for this composition is 0 meV/atom. The formation energy from the elements is 0.549 eV per atom.



BaNaMn2: relaxed, PBE.

a = 8.684 Å, b = 8.684 Å, c = 6.861 Å
α = 50.74°, β = 50.74°, γ = 90.00°
Fractional positions:
Na1 0.500 0.500 0.000
Na2 0.250 0.750 0.500
Mn1 0.604 0.125 0.250
Mn2 0.146 0.625 0.250
Mn3 0.375 0.396 0.750
Mn4 0.875 0.854 0.750
Ba1 0.000 0.000 0.000
Ba2 0.750 0.250 0.500

Calculated values
The energy relative to the lowest polymorph listed for this composition is 120 meV/atom. The formation energy from the elements is 0.957 eV per atom.



How do the records compare in D(E_F)? In the order shown, they have 0.036 0.286 0.179 1.539 1.434 1.386 1.333 1.936 states/eV/atom.
How do the records compare in total DFT energy (no corrections)? In the order shown, they have -8.11 -8.39 -8.25 -5.33 -4.56 -3.19 -2.70 -4.44 eV per atom.
How do the records compare in calculated volume? In the order shown, they have 17.49 15.76 15.60 26.62 29.59 40.74 43.52 28.84 A^3/atom.